A relaxed AgHg2Pb crystal, computed with PBE.

Cell lengths 7.3271, 7.3271, 7.3271 Å; angles 90.00, 90.00, 90.00 degrees
Space group F-43m (No. 216)
Symmetry-distinct sites (fractional):
Ag 0.0000 0.0000 0.0000 x4
Hg 0.0000 0.0000 0.5000 x4
Hg 0.2500 0.2500 0.2500 x4
Pb 0.2500 0.2500 0.7500 x4

The total magnetization comes out at 0.00 μB/cell. The value obtained for the calculated total energy is -1.663 eV per atom. The calculation puts the energy relative to the elements at 0.13 eV per atom.


A relaxed AgHgPb2 crystal, computed with PBE.

Cell lengths 3.5933, 5.6264, 10.6246 Å; angles 90.00, 90.00, 90.00 degrees
Space group Immm (No. 71)
Symmetry-distinct sites (fractional):
Ag 0.0000 0.0000 0.0000 x2
Hg 0.0000 0.0000 0.5000 x2
Pb 0.0000 0.5000 0.2690 x4

The total magnetization comes out at 0.00 μB/cell. The value obtained for the calculated total energy is -2.524 eV per atom. The calculation puts the energy relative to the elements at 0.12 eV per atom.


A relaxed AgHgPb2 crystal, computed with PBE.

Cell lengths 4.9081, 4.9081, 16.7544 Å; angles 90.00, 90.00, 120.00 degrees
Space group R3m (No. 160, hexagonal axes)
Symmetry-distinct sites (fractional):
Ag 0.0000 0.0000 0.0000 x3
Hg 0.0000 0.0000 0.8229 x3
Pb 0.0000 0.0000 0.3957 x3
Pb 0.0000 0.0000 0.6036 x3

The total magnetization comes out at 0.00 μB/cell. The value obtained for the calculated total energy is -2.544 eV per atom. The calculation puts the energy relative to the elements at 0.10 eV per atom.


A relaxed Ag2HgPb2 crystal, computed with PBE.

Cell lengths 3.9939, 3.9939, 16.4054 Å; angles 90.00, 90.00, 90.00 degrees
Space group I4/mmm (No. 139)
Symmetry-distinct sites (fractional):
Ag 0.0000 0.5000 0.2500 x4
Hg 0.0000 0.0000 0.0000 x2
Pb 0.0000 0.0000 0.3941 x4

The total magnetization comes out at 0.00 μB/cell. The energy above the most stable polymorph in this dataset comes out at 0.066 eV per atom. The value obtained for the calculated total energy is -2.535 eV per atom. The calculation puts the energy relative to the elements at 0.15 eV per atom.


A relaxed Ag2HgPb crystal, computed with PBE.

Cell lengths 4.4359, 4.4359, 9.0993 Å; angles 90.00, 90.00, 90.00 degrees
Space group I-4m2 (No. 119)
Symmetry-distinct sites (fractional):
Ag 0.0000 0.0000 0.0000 x2
Ag 0.0000 0.5000 0.2500 x2
Hg 0.0000 0.5000 0.7500 x2
Pb 0.0000 0.0000 0.5000 x2

The total magnetization comes out at 0.00 μB/cell. The value obtained for the calculated total energy is -2.312 eV per atom. The calculation puts the energy relative to the elements at 0.12 eV per atom.


A relaxed AgHgPb crystal, computed with PBE.

Cell lengths 14.5591, 3.6581, 6.0761 Å; angles 90.00, 113.51, 90.00 degrees
Space group C2/m (No. 12)
Symmetry-distinct sites (fractional):
Ag 0.1258 0.0000 0.1323 x4
Hg 0.0037 0.5000 0.7404 x4
Pb 0.1936 0.0000 0.6966 x4

The total magnetization comes out at 0.00 μB/cell. The energy above the most stable polymorph in this dataset comes out at 0.012 eV per atom. The value obtained for the calculated total energy is -2.203 eV per atom. The calculation puts the energy relative to the elements at 0.08 eV per atom.


A relaxed AgHg2Pb crystal, computed with PBE.

Cell lengths 4.4910, 4.4910, 9.7047 Å; angles 90.00, 90.00, 90.00 degrees
Space group I4/mmm (No. 139)
Symmetry-distinct sites (fractional):
Ag 0.0000 0.0000 0.0000 x2
Hg 0.0000 0.5000 0.2500 x4
Pb 0.0000 0.0000 0.5000 x2

The total magnetization comes out at 0.00 μB/cell. The value obtained for the calculated total energy is -1.692 eV per atom. The calculation puts the energy relative to the elements at 0.10 eV per atom.


A relaxed AgHgPb2 crystal, computed with PBE.

Cell lengths 5.5184, 3.3781, 6.3081 Å; angles 90.00, 115.25, 90.00 degrees
Space group P2/m (No. 10)
Symmetry-distinct sites (fractional):
Ag 0.0000 0.0000 0.0000 x1
Hg 0.0000 0.5000 0.5000 x1
Pb 0.5000 0.0000 0.5000 x1
Pb 0.5000 0.5000 0.0000 x1

The total magnetization comes out at 0.00 μB/cell. The value obtained for the calculated total energy is -2.538 eV per atom. The calculation puts the energy relative to the elements at 0.10 eV per atom.


A relaxed AgHg2Pb crystal, computed with PBE.

Cell lengths 3.8383, 5.1041, 5.2452 Å; angles 90.00, 95.84, 90.00 degrees
Space group P2/m (No. 10)
Symmetry-distinct sites (fractional):
Ag 0.0000 0.0000 0.0000 x1
Hg 0.2077 0.5000 0.7693 x2
Pb 0.5000 0.0000 0.5000 x1

The total magnetization comes out at 0.00 μB/cell. The value obtained for the calculated total energy is -1.702 eV per atom. The calculation puts the energy relative to the elements at 0.09 eV per atom.


A relaxed Ag2HgPb crystal, computed with PBE.

Cell lengths 3.5505, 3.5505, 7.2809 Å; angles 90.00, 90.00, 90.00 degrees
Space group P4mm (No. 99)
Symmetry-distinct sites (fractional):
Ag 0.0000 0.0000 0.0000 x1
Ag 0.5000 0.5000 0.1971 x1
Hg 0.0000 0.0000 0.4260 x1
Pb 0.5000 0.5000 0.7451 x1

The total magnetization comes out at 0.00 μB/cell. The value obtained for the calculated total energy is -2.359 eV per atom. The calculation puts the energy relative to the elements at 0.07 eV per atom.


A relaxed AgHg2Pb crystal, computed with PBE.

Cell lengths 3.4043, 3.4043, 29.8141 Å; angles 90.00, 90.00, 120.00 degrees
Space group R3m (No. 160, hexagonal axes)
Symmetry-distinct sites (fractional):
Ag 0.0000 0.0000 0.0000 x3
Hg 0.0000 0.0000 0.4078 x3
Hg 0.0000 0.0000 0.5922 x3
Pb 0.0000 0.0000 0.1667 x3

The total magnetization comes out at 0.00 μB/cell. The value obtained for the calculated total energy is -1.699 eV per atom. The calculation puts the energy relative to the elements at 0.09 eV per atom.


A relaxed AgHgPb2 crystal, computed with PBE.

Cell lengths 3.6614, 4.7264, 6.3430 Å; angles 90.00, 105.83, 90.00 degrees
Space group Pm (No. 6)
Symmetry-distinct sites (fractional):
Ag 0.0000 0.0000 0.0000 x1
Hg 0.1539 0.5000 0.2929 x1
Pb 0.4172 0.5000 0.8322 x1
Pb 0.7488 0.0000 0.4853 x1

The total magnetization comes out at 0.00 μB/cell. The value obtained for the calculated total energy is -2.576 eV per atom. The calculation puts the energy relative to the elements at 0.07 eV per atom.


Question: What is the energy relative to the elements in the ninth record?
Answer: 0.09 eV per atom


Question: The highest calculated total energy belongs to which entry?
Answer: number 1


Question: Look up the calculated total energy of the eighth one.
Answer: -2.538 eV per atom


Question: What is the calculated total energy in the tenth record?
Answer: -2.359 eV per atom